Computed, not measured: an optimized crystal structure of Nd2Pa at the PBE level of DFT.

Values from the calculation:
Density of states at the Fermi level = 7.988 states/eV/f.u.
Crystal system = monoclinic
V = 184.7 Å³ per cell
E_form = 0.4271 eV per atom
Total moment = 0.00 μB/f.u.

```
data_Nd2Pa
_chemical_formula_sum 'Nd4 Pa2'
_cell_length_a 5.798
_cell_length_b 5.815
_cell_length_c 6.195
_cell_angle_alpha 90.00
_cell_angle_beta 117.81
_cell_angle_gamma 90.00
_symmetry_space_group_name_H-M 'C 1 2/m 1'
_symmetry_Int_Tables_number 12
loop_
_symmetry_equiv_pos_as_xyz
'x,y,z'
'-x,-y,-z'
'-x,y,-z'
'x,-y,z'
'x+1/2,y+1/2,z'
'-x+1/2,-y+1/2,-z'
'-x+1/2,y+1/2,-z'
'x+1/2,-y+1/2,z'
loop_
_atom_site_label
_atom_site_type_symbol
_atom_site_fract_x
_atom_site_fract_y
_atom_site_fract_z
Nd1 Nd 0.160 0.000 0.319
Pa1 Pa 0.000 0.500 0.000
```